# 1
Entry from the Alexandria database: a geometry-optimized LaMn2As structure (PBEsol).

Cell: 4.061 4.449 4.458 Å, 90.00 90.00 90.00°
Space group Pmmm (No. 47)
Asymmetric unit:
1 La 0.000 0.000 0.000
2 Mn 0.500 0.218 0.500
3 As 0.000 0.500 0.500

Values from the calculation:
Calculated volume: 80.6 Å³/cell
DOS at the Fermi energy: 0.920 states/eV per atom
Total DFT energy (no corrections): -7.450 eV/atom
ρ: 6.67 g cm⁻³
Total magnetic moment: 0.48 μB per atom

# 2
Entry from the Alexandria database: a geometry-optimized La2MoAs structure (PBEsol).

Cell: 3.833 3.833 6.472 Å, 90.00 90.00 90.00°
Space group P4/mmm (No. 123)
Asymmetric unit:
1 La 0.000 0.000 0.239
2 Mo 0.500 0.500 0.500
3 As 0.500 0.500 0.000

Values from the calculation:
Calculated volume: 95.1 Å³/cell
DOS at the Fermi energy: 1.593 states/eV per atom
Total DFT energy (no corrections): -7.008 eV/atom
ρ: 7.84 g cm⁻³
Total magnetic moment: 0.33 μB per atom

# 3
Entry from the Alexandria database: a geometry-optimized LaMo2As structure (PBEsol).

Cell: 4.3023 4.3023 15.7491 Å, 90.00 90.00 120.00°
Space group R3m (No. 160, hexagonal axes)
Asymmetric unit:
1 La 0.0000 0.0000 0.0000
2 Mo 0.0000 0.0000 0.2090
3 Mo 0.0000 0.0000 0.5006
4 As 0.0000 0.0000 0.7941

Values from the calculation:
Calculated volume: 252.5 Å³/cell
DOS at the Fermi energy: 0.529 states/eV per atom
Total DFT energy (no corrections): -8.665 eV/atom
ρ: 8.01 g cm⁻³
Total magnetic moment: 0.00 μB per atom

# 4
Entry from the Alexandria database: a geometry-optimized LaMo2As structure (PBEsol).

Cell: 3.865 4.646 4.704 Å, 90.00 93.05 90.00°
Space group P2/m (No. 10)
Asymmetric unit:
1 La 0.000 0.000 0.000
2 Mo 0.407 0.500 0.765
3 As 0.500 0.000 0.500

Values from the calculation:
Calculated volume: 84.3 Å³/cell
DOS at the Fermi energy: 0.679 states/eV per atom
Total DFT energy (no corrections): -8.280 eV/atom
ρ: 7.99 g cm⁻³
Total magnetic moment: 0.00 μB per atom